First-principles (PBE) data for a relaxed structure of V4CdSe8, as listed in Alexandria.

```
V4CdSe8
1.0
6.113 -3.576 0.000
6.113 3.576 0.000
-5.696 0.000 6.655
V Cd Se
4 1 8
direct
0.215 0.785 0.000 V
0.222 0.222 0.992 V
0.778 0.778 0.008 V
0.785 0.215 0.000 V
0.500 0.500 0.500 Cd
0.014 0.526 0.223 Se
0.042 0.042 0.256 Se
0.474 0.986 0.777 Se
0.499 0.499 0.184 Se
0.501 0.501 0.816 Se
0.526 0.014 0.223 Se
0.958 0.958 0.744 Se
0.986 0.474 0.777 Se
```

volume = 22.4 Å³ per atom
total energy = -5.69 eV per atom